Here is a relaxed structure of La6Si2SeCl3 from Alexandria via LeMat-Bulk. Energies are from GGA-PBE.

* DFT total energy: -5.570 eV per atom
* D(E_F): 6.6 states/eV/f.u.
* energy relative to the elements, uncorrected: -1450 meV per atom
* total magnetic moment: 0.0 μB/f.u.

Geometry as CIF:
```
data_La6Si2SeCl3
_chemical_formula_sum 'La12 Si4 Se2 Cl6'
_cell_length_a 18.644
_cell_length_b 4.336
_cell_length_c 8.528
_cell_angle_alpha 90.00
_cell_angle_beta 102.07
_cell_angle_gamma 90.00
_symmetry_space_group_name_H-M 'C 1 2/m 1'
_symmetry_Int_Tables_number 12
_symmetry_space_group_name_Hall '-C 2y'
loop_
_atom_site_label
_atom_site_fract_x
_atom_site_fract_y
_atom_site_fract_z
_atom_site_occupancy
La1 0.005 0.000 0.248 1
La2 0.166 0.500 0.097 1
La3 0.171 0.500 0.574 1
Si1 0.166 0.000 0.331 1
Se1 0.000 0.500 0.000 1
Cl1 0.000 0.500 0.500 1
Cl2 0.168 0.000 0.834 1
```